No. 1
First-principles (PBE-GGA) data for a relaxed structure of La12Pr7Dy, as listed in Alexandria.

a b c (Å): 11.211 11.211 11.211
angles (deg): 115.61 115.61 115.61
Element x y z (fractional)
La1 0.066 0.497 0.283
La2 0.201 0.273 0.747
La3 0.253 0.799 0.727
La4 0.273 0.747 0.201
La5 0.283 0.066 0.497
La6 0.497 0.283 0.066
La7 0.503 0.717 0.934
La8 0.717 0.934 0.503
La9 0.727 0.253 0.799
La10 0.747 0.201 0.273
La11 0.799 0.727 0.253
La12 0.934 0.503 0.717
Pr1 0.079 0.227 0.386
Pr2 0.227 0.386 0.079
Pr3 0.386 0.079 0.227
Pr4 0.500 0.500 0.500
Pr5 0.614 0.921 0.773
Pr6 0.773 0.614 0.921
Pr7 0.921 0.773 0.614
Dy1 0.000 0.000 0.000

Results
The excess energy over the best structure of this formula in the dataset is 58 meV per atom. The total energy is -4.6292 eV/atom. The calculation puts the energy of formation from the pure elements at 0.2302 eV per atom.

=====

No. 2
First-principles (PBE-GGA) data for a relaxed structure of La7Pr3Dy2, as listed in Alexandria.

a b c (Å): 6.040 3.651 19.616
angles (deg): 90.00 93.46 90.00
Element x y z (fractional)
La1 0.000 0.000 0.000
La2 0.180 0.500 0.183
La3 0.256 0.500 0.534
La4 0.322 0.000 0.853
La5 0.678 0.000 0.147
La6 0.744 0.500 0.466
La7 0.820 0.500 0.817
Pr1 0.221 0.000 0.364
Pr2 0.500 0.500 0.000
Pr3 0.779 0.000 0.636
Dy1 0.289 0.500 0.703
Dy2 0.711 0.500 0.297

Results
The excess energy over the best structure of this formula in the dataset is 17 meV per atom. The total energy is -4.7548 eV/atom. The calculation puts the energy of formation from the pure elements at 0.0814 eV per atom.

=====

No. 3
First-principles (PBE-GGA) data for a relaxed structure of La5Pr2Dy, as listed in Alexandria.

a b c (Å): 9.060 9.060 11.744
angles (deg): 90.00 90.00 142.14
Element x y z (fractional)
La1 0.046 0.954 0.615
La2 0.046 0.954 0.885
La3 0.391 0.609 0.250
La4 0.413 0.587 0.588
La5 0.413 0.587 0.912
La6 0.587 0.413 0.088
La7 0.587 0.413 0.412
La8 0.609 0.391 0.750
La9 0.954 0.046 0.115
La10 0.954 0.046 0.385
Pr1 0.214 0.786 0.085
Pr2 0.214 0.786 0.415
Pr3 0.786 0.214 0.585
Pr4 0.786 0.214 0.915
Dy1 0.229 0.771 0.750
Dy2 0.771 0.229 0.250

Results
The total energy is -4.7383 eV/atom. The calculation puts the energy of formation from the pure elements at 0.1115 eV per atom.

=====

Among the records above, which one has the highest total energy?
La12Pr7Dy

=====

Look up the total energy of the first one.
-4.6292 eV/atom

=====

The lowest energy of formation from the pure elements belongs to which entry?
La7Pr3Dy2